{
  "formula": "HfSiIr3",
  "functional": "PBE",
  "state": "relaxed",
  "lattice_angstrom": [[4.4308, 0.0000, 0.0000], [0.0000, 4.4308, 0.0000], [0.0000, 0.0000, 4.4308]],
  "species": ["Hf", "Si", "Ir", "Ir", "Ir"],
  "fractional_positions": [[0.0000, 0.0000, 0.0000], [0.5000, 0.5000, 0.5000], [0.0000, 0.5000, 0.5000], [0.5000, 0.0000, 0.5000], [0.5000, 0.5000, 0.0000]],
  "space_group": "No. 221",
  "polymorph_energy_ev_per_fu": 0.00,
  "dft_energy_ev_per_atom": -8.344,
  "volume_a3_per_atom": 17.40,
  "e_form_raw_ev_per_atom": 0.0479
}

{
  "formula": "HfSiIr3",
  "functional": "PBE",
  "state": "relaxed",
  "lattice_angstrom": [[4.8343, 0.0000, 0.0000], [0.0000, 4.8343, 0.0000], [0.0000, 0.0000, 4.8343]],
  "species": ["Hf", "Si", "Ir", "Ir", "Ir"],
  "fractional_positions": [[0.0000, 0.0000, 0.0000], [0.5000, 0.5000, 0.5000], [0.0000, 0.0000, 0.5000], [0.0000, 0.5000, 0.0000], [0.5000, 0.0000, 0.0000]],
  "space_group": "No. 221",
  "polymorph_energy_ev_per_fu": 8.05,
  "dft_energy_ev_per_atom": -6.735,
  "volume_a3_per_atom": 22.60,
  "e_form_raw_ev_per_atom": 1.6570
}

{
  "formula": "Hf3SiIr",
  "functional": "PBE",
  "state": "relaxed",
  "lattice_angstrom": [[4.9787, 0.0000, 0.0000], [0.0000, 4.9787, 0.0000], [0.0000, 0.0000, 4.9787]],
  "species": ["Hf", "Hf", "Hf", "Si", "Ir"],
  "fractional_positions": [[0.0000, 0.0000, 0.5000], [0.0000, 0.5000, 0.0000], [0.5000, 0.0000, 0.0000], [0.5000, 0.5000, 0.5000], [0.0000, 0.0000, 0.0000]],
  "space_group": "No. 221",
  "polymorph_energy_ev_per_fu": 0.00,
  "dft_energy_ev_per_atom": -8.549,
  "volume_a3_per_atom": 24.68,
  "e_form_raw_ev_per_atom": 0.2802
}

{
  "formula": "Hf2SiIr",
  "functional": "PBE",
  "state": "relaxed",
  "lattice_angstrom": [[-2.7032, 2.7032, 7.0404], [2.7032, -2.7032, 7.0404], [2.7032, 2.7032, -7.0404]],
  "species": ["Hf", "Hf", "Hf", "Hf", "Si", "Si", "Ir", "Ir"],
  "fractional_positions": [[0.1153, 0.6250, 0.9903], [0.3750, 0.3653, 0.4903], [0.6347, 0.1250, 0.0097], [0.8750, 0.8847, 0.5097], [0.2500, 0.7500, 0.5000], [0.5000, 0.5000, 0.0000], [0.0000, 0.0000, 0.0000], [0.7500, 0.2500, 0.5000]],
  "space_group": "No. 122",
  "dft_energy_ev_per_atom": -8.230,
  "volume_a3_per_atom": 25.72,
  "e_form_raw_ev_per_atom": 0.3180
}

{
  "formula": "HfSi3Ir",
  "functional": "PBE",
  "state": "relaxed",
  "lattice_angstrom": [[4.8756, 0.0000, 0.0000], [0.0000, 4.8756, 0.0000], [0.0000, 0.0000, 4.8756]],
  "species": ["Hf", "Si", "Si", "Si", "Ir"],
  "fractional_positions": [[0.0000, 0.0000, 0.0000], [0.0000, 0.0000, 0.5000], [0.0000, 0.5000, 0.0000], [0.5000, 0.0000, 0.0000], [0.5000, 0.5000, 0.5000]],
  "space_group": "No. 221",
  "polymorph_energy_ev_per_fu": 4.77,
  "dft_energy_ev_per_atom": -5.458,
  "volume_a3_per_atom": 23.18,
  "e_form_raw_ev_per_atom": 1.5585
}

{
  "formula": "HfSiIr",
  "functional": "PBE",
  "state": "relaxed",
  "lattice_angstrom": [[6.5574, 0.0000, 0.0000], [0.0000, 3.8869, 0.0000], [-0.1028, 0.0000, 11.2621]],
  "species": ["Hf", "Hf", "Hf", "Hf", "Hf", "Hf", "Si", "Si", "Si", "Si", "Si", "Si", "Ir", "Ir", "Ir", "Ir", "Ir", "Ir"],
  "fractional_positions": [[0.0104, 0.2500, 0.2059], [0.3416, 0.7500, 0.5776], [0.4766, 0.7500, 0.8808], [0.5234, 0.2500, 0.1192], [0.6584, 0.2500, 0.4224], [0.9896, 0.7500, 0.7941], [0.2303, 0.7500, 0.0826], [0.2315, 0.2500, 0.4130], [0.2795, 0.2500, 0.7514], [0.7205, 0.7500, 0.2486], [0.7685, 0.7500, 0.5870], [0.7697, 0.2500, 0.9174], [0.0238, 0.2500, 0.5937], [0.1517, 0.2500, 0.9578], [0.3537, 0.7500, 0.2958], [0.6463, 0.2500, 0.7042], [0.8483, 0.7500, 0.0422], [0.9762, 0.7500, 0.4063]],
  "space_group": "No. 11",
  "dft_energy_ev_per_atom": -9.136,
  "volume_a3_per_atom": 15.95,
  "e_form_raw_ev_per_atom": -1.0571
}

{
  "formula": "Hf2Si2Ir",
  "functional": "PBE",
  "state": "relaxed",
  "lattice_angstrom": [[-1.8938, 2.6593, 4.0842], [1.8938, -2.6593, 4.0842], [1.8938, 2.6593, -4.0842]],
  "species": ["Hf", "Hf", "Si", "Si", "Ir"],
  "fractional_positions": [[0.2071, 0.2071, 0.0000], [0.7929, 0.7929, 0.0000], [0.2225, 0.5000, 0.7225], [0.7775, 0.5000, 0.2775], [0.5000, 0.0000, 0.5000]],
  "space_group": "No. 71",
  "dft_energy_ev_per_atom": -8.869,
  "volume_a3_per_atom": 16.46,
  "e_form_raw_ev_per_atom": -0.9465
}

{
  "formula": "HfSiIr",
  "functional": "PBE",
  "state": "relaxed",
  "lattice_angstrom": [[4.2689, 0.0000, 0.0000], [-2.1344, 3.6970, 0.0000], [0.0000, 0.0000, 3.0627]],
  "species": ["Hf", "Si", "Ir"],
  "fractional_positions": [[0.0000, 0.0000, 0.0000], [0.3333, 0.6667, 0.5000], [0.6667, 0.3333, 0.5000]],
  "space_group": "No. 187",
  "dft_energy_ev_per_atom": -9.012,
  "volume_a3_per_atom": 16.11,
  "e_form_raw_ev_per_atom": -0.9327
}

{
  "formula": "HfSi3Ir",
  "functional": "PBE",
  "state": "relaxed",
  "lattice_angstrom": [[4.6356, 0.0000, 0.0000], [0.0000, 4.6356, 0.0000], [0.0000, 0.0000, 4.6356]],
  "species": ["Hf", "Si", "Si", "Si", "Ir"],
  "fractional_positions": [[0.0000, 0.0000, 0.0000], [0.0000, 0.5000, 0.5000], [0.5000, 0.0000, 0.5000], [0.5000, 0.5000, 0.0000], [0.5000, 0.5000, 0.5000]],
  "space_group": "No. 221",
  "polymorph_energy_ev_per_fu": 0.00,
  "dft_energy_ev_per_atom": -6.412,
  "volume_a3_per_atom": 19.92,
  "e_form_raw_ev_per_atom": 0.6050
}

{
  "formula": "Hf2SiIr4",
  "functional": "PBE",
  "state": "relaxed",
  "lattice_angstrom": [[-2.1651, 2.1651, 6.9540], [2.1651, -2.1651, 6.9540], [2.1651, 2.1651, -6.9540]],
  "species": ["Hf", "Hf", "Si", "Ir", "Ir", "Ir", "Ir"],
  "fractional_positions": [[0.1513, 0.1513, 0.0000], [0.8487, 0.8487, 0.0000], [0.5000, 0.5000, 0.0000], [0.0000, 0.5000, 0.5000], [0.3334, 0.3334, 0.0000], [0.5000, 0.0000, 0.5000], [0.6666, 0.6666, 0.0000]],
  "space_group": "No. 139",
  "dft_energy_ev_per_atom": -8.665,
  "volume_a3_per_atom": 18.63,
  "e_form_raw_ev_per_atom": 0.0174
}

{
  "formula": "Hf2Si3Ir5",
  "functional": "PBE",
  "state": "relaxed",
  "lattice_angstrom": [[1.9612, -11.8021, 0.0000], [1.9612, 11.8021, 0.0000], [0.0000, 0.0000, 6.5784]],
  "species": ["Hf", "Hf", "Hf", "Hf", "Si", "Si", "Si", "Si", "Si", "Si", "Ir", "Ir", "Ir", "Ir", "Ir", "Ir", "Ir", "Ir", "Ir", "Ir"],
  "fractional_positions": [[0.0230, 0.9770, 0.5000], [0.3249, 0.6751, 0.5280], [0.6751, 0.3249, 0.0280], [0.9770, 0.0230, 0.0000], [0.1120, 0.8880, 0.2511], [0.2670, 0.7330, 0.0424], [0.4578, 0.5422, 0.2942], [0.5422, 0.4578, 0.7942], [0.7330, 0.2670, 0.5424], [0.8880, 0.1120, 0.7511], [0.0967, 0.9033, 0.8611], [0.2062, 0.7938, 0.7538], [0.2072, 0.7928, 0.3350], [0.3740, 0.6260, 0.0454], [0.4447, 0.5553, 0.6663], [0.5553, 0.4447, 0.1663], [0.6260, 0.3740, 0.5454], [0.7928, 0.2072, 0.8350], [0.7938, 0.2062, 0.2538], [0.9033, 0.0967, 0.3611]],
  "space_group": "No. 36",
  "dft_energy_ev_per_atom": -8.911,
  "volume_a3_per_atom": 15.23,
  "e_form_raw_ev_per_atom": -0.8628
}

{
  "formula": "HfSiIr",
  "functional": "PBE",
  "state": "relaxed",
  "lattice_angstrom": [[2.0666, -6.2911, 0.0000], [2.0666, 6.2911, 0.0000], [0.0000, 0.0000, 3.8187]],
  "species": ["Hf", "Hf", "Si", "Si", "Ir", "Ir"],
  "fractional_positions": [[0.0925, 0.9075, 0.7500], [0.9075, 0.0925, 0.2500], [0.3894, 0.6106, 0.7500], [0.6106, 0.3894, 0.2500], [0.2634, 0.7366, 0.2500], [0.7366, 0.2634, 0.7500]],
  "space_group": "No. 63",
  "dft_energy_ev_per_atom": -8.792,
  "volume_a3_per_atom": 16.55,
  "e_form_raw_ev_per_atom": -0.7129
}

{
  "formula": "Hf2Si2Ir",
  "functional": "PBE",
  "state": "relaxed",
  "lattice_angstrom": [[6.2639, 0.0000, 0.0000], [0.0000, 6.2639, 0.0000], [0.0000, 0.0000, 4.1712]],
  "species": ["Hf", "Hf", "Hf", "Hf", "Si", "Si", "Si", "Si", "Ir", "Ir"],
  "fractional_positions": [[0.1687, 0.3313, 0.0000], [0.3313, 0.8313, 0.0000], [0.6687, 0.1687, 0.0000], [0.8313, 0.6687, 0.0000], [0.1349, 0.6349, 0.5000], [0.3651, 0.1349, 0.5000], [0.6349, 0.8651, 0.5000], [0.8651, 0.3651, 0.5000], [0.0000, 0.0000, 0.5000], [0.5000, 0.5000, 0.5000]],
  "space_group": "No. 127",
  "dft_energy_ev_per_atom": -8.911,
  "volume_a3_per_atom": 16.37,
  "e_form_raw_ev_per_atom": -0.9879
}

{
  "formula": "Hf4Si6Ir7",
  "functional": "PBE",
  "state": "relaxed",
  "lattice_angstrom": [[-4.0356, 4.0356, 4.0356], [4.0356, -4.0356, 4.0356], [4.0356, 4.0356, -4.0356]],
  "species": ["Hf", "Hf", "Hf", "Hf", "Si", "Si", "Si", "Si", "Si", "Si", "Ir", "Ir", "Ir", "Ir", "Ir", "Ir", "Ir"],
  "fractional_positions": [[0.0000, 0.0000, 0.5000], [0.0000, 0.5000, 0.0000], [0.5000, 0.0000, 0.0000], [0.5000, 0.5000, 0.5000], [0.0000, 0.3177, 0.3177], [0.0000, 0.6823, 0.6823], [0.3177, 0.0000, 0.3177], [0.3177, 0.3177, 0.0000], [0.6823, 0.0000, 0.6823], [0.6823, 0.6823, 0.0000], [0.0000, 0.0000, 0.0000], [0.2500, 0.5000, 0.7500], [0.2500, 0.7500, 0.5000], [0.5000, 0.2500, 0.7500], [0.5000, 0.7500, 0.2500], [0.7500, 0.2500, 0.5000], [0.7500, 0.5000, 0.2500]],
  "space_group": "No. 229",
  "dft_energy_ev_per_atom": -8.889,
  "volume_a3_per_atom": 15.46,
  "e_form_raw_ev_per_atom": -0.9842
}

{
  "formula": "TbHfSi2Ir5",
  "functional": "PBE",
  "state": "relaxed",
  "lattice_angstrom": [[3.9450, 0.0000, 0.0000], [0.0000, 3.9450, 0.0000], [0.0000, 0.0000, 11.1831]],
  "species": ["Tb", "Hf", "Si", "Si", "Ir", "Ir", "Ir", "Ir", "Ir"],
  "fractional_positions": [[0.0000, 0.0000, 0.0000], [0.0000, 0.0000, 0.5000], [0.5000, 0.5000, 0.2091], [0.5000, 0.5000, 0.7909], [0.0000, 0.5000, 0.3277], [0.0000, 0.5000, 0.6723], [0.5000, 0.0000, 0.3277], [0.5000, 0.0000, 0.6723], [0.5000, 0.5000, 0.0000]],
  "space_group": "No. 123",
  "dft_energy_ev_per_atom": -8.283,
  "volume_a3_per_atom": 19.34,
  "e_form_raw_ev_per_atom": -0.5348
}

{
  "formula": "HfTh2Si3Ir4",
  "functional": "PBE",
  "state": "relaxed",
  "lattice_angstrom": [[4.1424, 0.0000, 0.0000], [0.0000, 4.1424, 0.0000], [0.0000, 0.0000, 10.7706]],
  "species": ["Hf", "Th", "Th", "Si", "Si", "Si", "Ir", "Ir", "Ir", "Ir"],
  "fractional_positions": [[0.0000, 0.0000, 0.0000], [0.0000, 0.5000, 0.7345], [0.5000, 0.0000, 0.2655], [0.0000, 0.5000, 0.3762], [0.5000, 0.0000, 0.6238], [0.5000, 0.5000, 0.0000], [0.0000, 0.0000, 0.5000], [0.0000, 0.5000, 0.1496], [0.5000, 0.0000, 0.8504], [0.5000, 0.5000, 0.5000]],
  "space_group": "No. 115",
  "dft_energy_ev_per_atom": -8.690,
  "volume_a3_per_atom": 18.48,
  "e_form_raw_ev_per_atom": -1.0394
}

{
  "formula": "SmHfIr4",
  "functional": "PBE",
  "state": "relaxed",
  "lattice_angstrom": [[0.0000, 3.7619, 3.7619], [3.7619, 0.0000, 3.7619], [3.7619, 3.7619, 0.0000]],
  "species": ["Sm", "Hf", "Ir", "Ir", "Ir", "Ir"],
  "fractional_positions": [[0.0000, 0.0000, 0.0000], [0.2500, 0.2500, 0.2500], [0.1255, 0.6248, 0.6248], [0.6248, 0.1255, 0.6248], [0.6248, 0.6248, 0.1255], [0.6248, 0.6248, 0.6248]],
  "space_group": "No. 216",
  "dft_energy_ev_per_atom": -9.005,
  "volume_a3_per_atom": 17.75,
  "formation_enthalpy_0k_mev_per_atom": -652
}

{
  "formula": "SmHf2Ir3",
  "functional": "PBE",
  "state": "relaxed",
  "lattice_angstrom": [[3.2718, 0.0000, 0.0000], [0.0000, 3.2718, 0.0000], [0.0000, 0.0000, 10.6355]],
  "species": ["Sm", "Hf", "Hf", "Ir", "Ir", "Ir"],
  "fractional_positions": [[0.0000, 0.0000, 0.0000], [0.0000, 0.0000, 0.3421], [0.0000, 0.0000, 0.6579], [0.5000, 0.5000, 0.2026], [0.5000, 0.5000, 0.5000], [0.5000, 0.5000, 0.7974]],
  "space_group": "No. 123",
  "dft_energy_ev_per_atom": -9.395,
  "volume_a3_per_atom": 18.97,
  "formation_enthalpy_0k_mev_per_atom": -861
}

{
  "formula": "SmHfTaIr2",
  "functional": "PBE",
  "state": "relaxed",
  "lattice_angstrom": [[-2.2365, 2.2365, 5.3664], [2.2365, -2.2365, 5.3664], [2.2365, 2.2365, -5.3664]],
  "species": ["Sm", "Hf", "Ta", "Ir", "Ir"],
  "fractional_positions": [[0.0000, 0.0000, 0.0000], [0.7500, 0.2500, 0.5000], [0.2500, 0.7500, 0.5000], [0.3782, 0.3782, 0.0000], [0.6218, 0.6218, 0.0000]],
  "space_group": "No. 119",
  "dft_energy_ev_per_atom": -9.581,
  "volume_a3_per_atom": 21.47,
  "formation_enthalpy_0k_mev_per_atom": -731
}

{
  "formula": "SmHfTiIr2",
  "functional": "PBE",
  "state": "relaxed",
  "lattice_angstrom": [[-2.1843, 2.1843, 5.4877], [2.1843, -2.1843, 5.4877], [2.1843, 2.1843, -5.4877]],
  "species": ["Sm", "Hf", "Ti", "Ir", "Ir"],
  "fractional_positions": [[0.0000, 0.0000, 0.0000], [0.7500, 0.2500, 0.5000], [0.2500, 0.7500, 0.5000], [0.3815, 0.3815, 0.0000], [0.6185, 0.6185, 0.0000]],
  "space_group": "No. 119",
  "dft_energy_ev_per_atom": -8.855,
  "volume_a3_per_atom": 20.95,
  "formation_enthalpy_0k_mev_per_atom": -797
}

{
  "formula": "SmHfZnIr",
  "functional": "PBE",
  "state": "relaxed",
  "lattice_angstrom": [[0.0000, 3.4241, 3.4241], [3.4241, 0.0000, 3.4241], [3.4241, 3.4241, 0.0000]],
  "species": ["Sm", "Hf", "Zn", "Ir"],
  "fractional_positions": [[0.0000, 0.0000, 0.0000], [0.5000, 0.5000, 0.5000], [0.7500, 0.7500, 0.7500], [0.2500, 0.2500, 0.2500]],
  "space_group": "No. 216",
  "dft_energy_ev_per_atom": -6.615,
  "volume_a3_per_atom": 20.07,
  "formation_enthalpy_0k_mev_per_atom": -413
}

{
  "formula": "Hf8Sn2Ir",
  "functional": "PBE",
  "state": "relaxed",
  "lattice_angstrom": [[9.2724, -2.3598, 0.0000], [9.2724, 2.3598, 0.0000], [-1.7752, 0.0000, 5.5700]],
  "species": ["Hf", "Hf", "Hf", "Hf", "Hf", "Hf", "Hf", "Hf", "Sn", "Sn", "Ir"],
  "fractional_positions": [[0.0246, 0.0246, 0.2713], [0.2332, 0.2332, 0.8458], [0.3532, 0.3532, 0.4518], [0.4160, 0.4160, 0.0064], [0.5840, 0.5840, 0.9936], [0.6468, 0.6468, 0.5482], [0.7668, 0.7668, 0.1542], [0.9754, 0.9754, 0.7287], [0.1823, 0.1823, 0.2792], [0.8177, 0.8177, 0.7208], [0.5000, 0.5000, 0.5000]],
  "space_group": "No. 12",
  "dft_energy_ev_per_atom": -9.006,
  "volume_a3_per_atom": 22.16,
  "formation_enthalpy_0k_mev_per_atom": -233
}

{
  "formula": "Hf4SnIr",
  "functional": "PBE",
  "state": "relaxed",
  "lattice_angstrom": [[4.0492, -6.1757, 0.0000], [4.0492, 6.1757, 0.0000], [-1.9728, 0.0000, 5.1734]],
  "species": ["Hf", "Hf", "Hf", "Hf", "Hf", "Hf", "Hf", "Hf", "Sn", "Sn", "Ir", "Ir"],
  "fractional_positions": [[0.0736, 0.7072, 0.9353], [0.1991, 0.3700, 0.6540], [0.2928, 0.9264, 0.5647], [0.3700, 0.1991, 0.1540], [0.6300, 0.8009, 0.8460], [0.7072, 0.0736, 0.4353], [0.8009, 0.6300, 0.3460], [0.9264, 0.2928, 0.0647], [0.3827, 0.6173, 0.2500], [0.6173, 0.3827, 0.7500], [0.0021, 0.9979, 0.7500], [0.9979, 0.0021, 0.2500]],
  "space_group": "No. 15",
  "dft_energy_ev_per_atom": -9.202,
  "volume_a3_per_atom": 21.56,
  "formation_enthalpy_0k_mev_per_atom": -423
}

{
  "formula": "HfSnIr2",
  "functional": "PBE",
  "state": "relaxed",
  "lattice_angstrom": [[4.2755, 0.0000, 0.0000], [0.0000, 4.2755, 0.0000], [0.0000, 0.0000, 3.8007]],
  "species": ["Hf", "Sn", "Ir", "Ir"],
  "fractional_positions": [[0.0000, 0.0000, 0.0000], [0.5000, 0.5000, 0.0000], [0.0000, 0.5000, 0.5000], [0.5000, 0.0000, 0.5000]],
  "space_group": "No. 123",
  "dft_energy_ev_per_atom": -8.483,
  "volume_a3_per_atom": 17.37,
  "formation_enthalpy_0k_mev_per_atom": -563
}

{
  "formula": "Hf2SnIr2",
  "functional": "PBE",
  "state": "relaxed",
  "lattice_angstrom": [[-2.2367, 2.2367, 5.3744], [2.2367, -2.2367, 5.3744], [2.2367, 2.2367, -5.3744]],
  "species": ["Hf", "Hf", "Sn", "Ir", "Ir"],
  "fractional_positions": [[0.2500, 0.7500, 0.5000], [0.7500, 0.2500, 0.5000], [0.0000, 0.0000, 0.0000], [0.3817, 0.3817, 0.0000], [0.6183, 0.6183, 0.0000]],
  "space_group": "No. 139",
  "dft_energy_ev_per_atom": -8.895,
  "volume_a3_per_atom": 21.51,
  "formation_enthalpy_0k_mev_per_atom": -568
}